(1)
The following is a PBE calculation of an optimized crystal structure of K2NaTe2, from Alexandria.

Results
magnetic moment: 0.81 μB/f.u.
formation energy (no corrections): -13.0 kcal/mol of atoms
E: -2.5237 eV/atom

Lattice parameters (Å, degrees): 8.508 8.508 8.508 144.03 144.03 51.78
Fractional positions:
K 0.250 0.750 0.500
K 0.750 0.250 0.500
Na 0.000 0.000 0.000
Te 0.395 0.395 0.000
Te 0.605 0.605 0.000



(2)
The following is a PBE calculation of an optimized crystal structure of ZrPdPtRh, from Alexandria.

Results
ΔH_f (0 K): -0.86 eV per atom
magnetic moment: 0.00 μB/f.u.
E: -7.6422 eV/atom

Lattice parameters (Å, degrees): 3.972 3.985 4.085 90.00 90.00 90.00
Fractional positions:
Zr 0.000 0.000 0.000
Pd 0.000 0.500 0.500
Pt 0.500 0.000 0.500
Rh 0.500 0.500 0.000